(1)
First-principles (GGA-PBEsol) data for crystalline ZnTcRu2 at its relaxed geometry, as listed in Alexandria via LeMat-Bulk.

abc: 3.644 3.644 8.076
angles: 90.00 90.00 90.00
Space group I-4m2 (No. 119)
Unique sites:
Zn 0.000 0.000 0.000 [2 per cell]
Tc 0.000 0.500 0.750 [2 per cell]
Ru 0.000 0.000 0.500 [2 per cell]
Ru 0.000 0.500 0.250 [2 per cell]

Calculated values
**VASP energy**: -8.14 eV/atom
**V**: 13.4 Å³ per atom

=====

(2)
First-principles (GGA-PBEsol) data for crystalline ZrTcRu at its relaxed geometry, as listed in Alexandria via LeMat-Bulk.

abc: 6.045 6.045 6.045
angles: 90.00 90.00 90.00
Space group F-43m (No. 216)
Unique sites:
Zr 0.000 0.000 0.000 [4 per cell]
Tc 0.250 0.250 0.750 [4 per cell]
Ru 0.250 0.250 0.250 [4 per cell]

Calculated values
**VASP energy**: -9.27 eV/atom
**V**: 18.4 Å³ per atom

=====

(3)
First-principles (GGA-PBEsol) data for crystalline Te4Ru3 at its relaxed geometry, as listed in Alexandria via LeMat-Bulk.

abc: 5.2691 5.2691 5.8854
angles: 90.00 90.00 120.00
Space group P6/mmm (No. 191)
Unique sites:
Te 0.0000 0.0000 0.2348 [2 per cell]
Te 0.3333 0.6667 0.5000 [2 per cell]
Ru 0.0000 0.5000 0.0000 [3 per cell]

Calculated values
**V**: 20.2 Å³ per atom
**Raw formation energy**: 810 meV per atom

=====

(4)
First-principles (GGA-PBEsol) data for crystalline Te3Ru at its relaxed geometry, as listed in Alexandria via LeMat-Bulk.

abc: 5.750 5.750 5.750
angles: 90.00 90.00 90.00
Space group Im-3m (No. 229)
Unique sites:
Te 0.000 0.000 0.500 [6 per cell]
Ru 0.000 0.000 0.000 [2 per cell]

Calculated values
**V**: 23.8 Å³ per atom
**Raw formation energy**: 398 meV per atom

=====

Look up the V of the first one. 13.4 Å³ per atom

=====

The lowest V belongs to which entry? ZnTcRu2

=====

Which formula does entry 3 have? Te4Ru3

=====

Copy entry 4 word for word.
First-principles (GGA-PBEsol) data for crystalline Te3Ru at its relaxed geometry, as listed in Alexandria via LeMat-Bulk.

abc: 5.750 5.750 5.750
angles: 90.00 90.00 90.00
Space group Im-3m (No. 229)
Unique sites:
Te 0.000 0.000 0.500 [6 per cell]
Ru 0.000 0.000 0.000 [2 per cell]

Calculated values
**V**: 23.8 Å³ per atom
**Raw formation energy**: 398 meV per atom